Record 1
The following is a SCAN calculation of NbTlWO6 at its PBEsol-relaxed geometry, from Alexandria via LeMat-Bulk.

a b c (Å): 7.3076 7.3991 10.4653
angles (deg): 90.00 90.00 90.00
With the nearest neighbours (Å) after each atom.
Space group Imma (No. 74)
Unique sites:
Nb1 0.0000 0.0000 0.0000  6 O 1.98-1.99
Tl1 0.0000 0.2500 0.3218  1 O 2.66
W1 0.2500 0.2500 0.7500  6 O 1.91-1.92
O1 0.0000 0.2500 0.0681  2 Nb 1.98
O2 0.0000 0.2500 0.6944  2 W 1.92
O3 0.1891 0.0676 0.8716  1 W 1.91, 1 Nb 1.99

Output
- E_form (uncorrected) (eV per formula unit) = -20.1
- total energy (eV/atom) = -25.8540
- density (g/cm3) = 6.8



Record 2
The following is a SCAN calculation of Tm2Nb2O7 at its PBEsol-relaxed geometry, from Alexandria via LeMat-Bulk.

a b c (Å): 10.1615 10.1615 10.1615
angles (deg): 90.00 90.00 90.00
With the nearest neighbours (Å) after each atom.
Space group Fd-3m (No. 227, origin choice 2)
Unique sites:
Tm1 0.0000 0.0000 0.0000  8 O 2.20-2.36
Nb1 0.0000 0.0000 0.5000  6 O 2.06
O1 0.0995 0.3750 0.8750  2 Nb 2.06
O2 0.1250 0.1250 0.1250  4 Tm 2.20

Output
- E_form (uncorrected) (eV per formula unit) = -35.9
- total energy (eV/atom) = -22.6728
- density (g/cm3) = 8.0



Record 3
The following is a SCAN calculation of NbV3O8 at its PBEsol-relaxed geometry, from Alexandria via LeMat-Bulk.

a b c (Å): 5.6679 9.9110 9.4437
angles (deg): 90.00 90.00 90.00
With the nearest neighbours (Å) after each atom.
Space group Cmc2_1 (No. 36)
Unique sites:
Nb1 0.0000 0.1396 0.0000  4 O 1.92-2.09
V1 0.0000 0.3304 0.7261  6 O 1.86-1.97
V2 0.2249 0.4004 0.2293  4 O 1.81-1.97
O1 0.0000 0.0170 0.8421  1 Nb 1.92, 2 V 2.06
O2 0.0000 0.1693 0.6252  3 V 1.86-1.97
O3 0.0000 0.3251 0.1047  2 V 1.89, 1 Nb 2.09
O4 0.0000 0.4978 0.8299  3 V 1.88-1.93
O5 0.2287 0.2397 0.8498  2 V 1.81-1.96
O6 0.2451 0.4245 0.6164  1 Nb 1.92, 2 V 1.97-2.04

Output
- E_form (uncorrected) (eV per formula unit) = -30.8
- total energy (eV/atom) = -13.8510
- offset from the most stable computed form (eV per atom) = 0.084
- density (g/cm3) = 4.7



Record 4
The following is a SCAN calculation of NbVO5 at its PBEsol-relaxed geometry, from Alexandria via LeMat-Bulk.

a b c (Å): 11.9677 5.5842 7.0265
angles (deg): 90.00 90.00 90.00
With the nearest neighbours (Å) after each atom.
Space group Pnma (No. 62)
Unique sites:
Nb1 0.0596 0.2500 0.1579  6 O 1.92-2.06
V1 0.1537 0.7500 0.4706  4 O 1.69-1.73
O1 0.0000 0.0000 0.0000  2 Nb 1.92
O2 0.0756 0.7500 0.6752  1 V 1.72
O3 0.1243 0.5018 0.3423  1 V 1.69
O4 0.2058 0.2500 0.0305  1 V 1.73

Output
- E_form (uncorrected) (eV per formula unit) = -18.4
- total energy (eV/atom) = -14.3166
- density (g/cm3) = 3.2



Record 5
The following is a SCAN calculation of Nb9VO25 at its PBEsol-relaxed geometry, from Alexandria via LeMat-Bulk.

a b c (Å): 15.8761 15.8761 3.8482
angles (deg): 90.00 90.00 90.00
With the nearest neighbours (Å) after each atom.
Space group I-4 (No. 82)
Unique sites:
Nb1 0.0000 0.0000 0.0000  6 O 1.92-2.02
Nb2 0.1056 0.7808 0.9983  4 O 1.85-2.01
Nb3 0.1167 0.3251 0.0100  4 O 1.82-2.03
V1 0.0000 0.5000 0.7500  4 O 1.71
O1 0.0000 0.0000 0.5000  2 Nb 1.92
O2 0.0116 0.2795 0.0094  1 Nb 1.82
O3 0.0517 0.8841 0.9973  2 Nb 1.85-2.02
O4 0.0549 0.5724 0.5106  1 V 1.71
O5 0.1122 0.7477 0.5011  2 Nb 1.99-2.01
O6 0.1474 0.3423 0.5006  2 Nb 1.97-2.04
O7 0.1768 0.2174 0.9919  2 Nb 1.90-1.96

Output
- E_form (uncorrected) (eV per formula unit) = -95.0
- total energy (eV/atom) = -16.1847
- density (g/cm3) = 4.4



Record 6
The following is a SCAN calculation of Nb4VO12 at its PBEsol-relaxed geometry, from Alexandria via LeMat-Bulk.

a b c (Å): 5.0865 5.5680 7.6930
angles (deg): 95.37 90.44 90.01
With the nearest neighbours (Å) after each atom.
Space group P1 (No. 1)
Unique sites:
Nb1 0.0000 0.0000 0.0000  4 O 1.87-1.99
Nb2 0.0267 0.0177 0.5297  4 O 1.83-2.02
Nb3 0.5030 0.5327 0.0071  3 O 1.87-1.97
Nb4 0.5367 0.5319 0.5261  4 O 1.84-2.03
V1 0.4934 0.1360 0.2284  3 O 1.77-1.87
O1 0.1744 0.6823 0.9730  2 Nb 1.89-1.97
O2 0.1871 0.0007 0.2646  1 V 1.77
O3 0.2191 0.2956 0.5723  1 Nb 1.83
O4 0.3053 0.1981 0.9915  2 Nb 1.91-2.11, 1 V 2.11
O5 0.3244 0.8029 0.5683  2 Nb 1.86-1.97
O6 0.4122 0.4630 0.2744  1 V 1.87, 1 Nb 2.03
O7 0.6279 0.4984 0.7786  2 Nb 1.87-2.02
O8 0.6699 0.8350 0.1052  2 Nb 1.97-2.12, 1 V 2.06
O9 0.7030 0.1632 0.4270  1 V 1.85, 1 Nb 2.02
O10 0.7724 0.2749 0.0861  2 Nb 1.99-2.11, 1 V 2.00
O11 0.8350 0.6876 0.4627  1 Nb 1.84
O12 0.8960 0.0051 0.7668  2 Nb 1.87-1.95

Output
- E_form (uncorrected) (eV per formula unit) = -45.2
- total energy (eV/atom) = -15.8832
- density (g/cm3) = 4.7



Record 7
The following is a SCAN calculation of NbV3O8 at its PBEsol-relaxed geometry, from Alexandria via LeMat-Bulk.

a b c (Å): 12.0604 3.7866 6.4800
angles (deg): 90.00 106.55 90.00
With the nearest neighbours (Å) after each atom.
Space group Cm (No. 8)
Unique sites:
Nb1 0.0000 0.0000 0.0000  4 O 1.81-1.98
V1 0.1030 0.5000 0.4506  1 O 1.69
V2 0.1987 0.5000 0.0248  6 O 1.86-2.06
V3 0.3985 0.5000 0.4102  5 O 1.84-2.01
O1 0.0382 0.5000 0.0757  2 Nb 1.98, 1 V 2.05
O2 0.0663 0.0000 0.3817  3 V 1.97-2.08
O3 0.1572 0.5000 0.7223  2 V 1.69-1.88
O4 0.1759 0.0000 0.0267  2 V 1.91, 1 Nb 2.08
O5 0.2401 0.5000 0.3559  3 V 1.84-2.06
O6 0.3593 0.5000 0.0871  2 V 1.86-2.01, 1 Nb 1.94
O7 0.4348 0.0000 0.4159  3 V 1.94-1.98
O8 0.4368 0.5000 0.7112  1 Nb 1.81, 1 V 1.87

Output
- E_form (uncorrected) (eV per formula unit) = -31.8
- total energy (eV/atom) = -13.9353
- offset from the most stable computed form (eV per atom) = 0.000
- density (g/cm3) = 4.4



Record 8
The following is a SCAN calculation of NbVO5 at its PBEsol-relaxed geometry, from Alexandria via LeMat-Bulk.

a b c (Å): 6.7973 6.7973 4.0823
angles (deg): 90.00 90.00 90.00
With the nearest neighbours (Å) after each atom.
Space group P4/n (No. 85, origin choice 2)
Unique sites:
Nb1 0.2500 0.2500 0.1990  5 O 1.80-2.00
V1 0.2500 0.7500 0.5000  4 O 1.71
O1 0.0421 0.7578 0.7348  1 V 1.71
O2 0.2500 0.2500 0.7575  1 Nb 1.80

Output
- E_form (uncorrected) (eV per formula unit) = -18.4
- total energy (eV/atom) = -14.3169
- density (g/cm3) = 3.9